Record 1
Here is a relaxed structure of AgAuI2 from Alexandria. Energies are from GGA-PBE.

Symmetry: C2/m, No. 12
Raw formation energy: -0.103 eV/atom
Energy above the most stable polymorph in this dataset: 0 kJ/mol of formula units

abc: 4.7736 4.2125 7.5898
angles: 73.89 86.91 90.00
Fractional positions:
I 0.9355 0.8905 0.2190
Ag 0.7500 0.2500 0.5000
Au 0.2500 0.7500 0.5000
I 0.5645 0.6095 0.7810

Record 2
Here is a relaxed structure of Ag2IrAuI from Alexandria. Energies are from GGA-PBE.

Symmetry: P4/mmm, No. 123
Raw formation energy: 1.453 eV/atom

abc: 5.1800 5.1800 5.3397
angles: 90.00 90.00 90.00
Last column: magnetic moment on the atom in μB.
Fractional positions:
Ir 0.5000 0.5000 0.5000  1.75
Au 0.0000 0.0000 0.0000  0.00
I 0.0000 0.0000 0.5000  0.08
Ag 0.0000 0.5000 0.0000  -0.01
Ag 0.5000 0.0000 0.0000  -0.01

- The highest raw formation energy belongs to which entry?
  Ag2IrAuI

- Among the records above, which one has the highest raw formation energy?
  Ag2IrAuI

Copy entry 2 word for word.
Here is a relaxed structure of Ag2IrAuI from Alexandria. Energies are from GGA-PBE.

Symmetry: P4/mmm, No. 123
Raw formation energy: 1.453 eV/atom

abc: 5.1800 5.1800 5.3397
angles: 90.00 90.00 90.00
Last column: magnetic moment on the atom in μB.
Fractional positions:
Ir 0.5000 0.5000 0.5000  1.75
Au 0.0000 0.0000 0.0000  0.00
I 0.0000 0.0000 0.5000  0.08
Ag 0.0000 0.5000 0.0000  -0.01
Ag 0.5000 0.0000 0.0000  -0.01

- Among the records above, which one has the highest raw formation energy?
  Ag2IrAuI